# 1
8
Lattice="-1.547 -1.150 3.157 7.035 -5.058 3.773 3.505 6.250 6.162" Properties=species:S:1:pos:R:3 comment="Ac4TbSm3 GGA-PBE relaxed" dos_ef_per_ev_atom=1.577 delta_e_f_mev_per_atom=151.2 volume_a3_per_atom=39.267 pbc="T T T"
Sm 5.270 0.596 4.967
Ac 2.031 2.532 6.252
Ac 5.203 3.146 8.030
Ac 6.962 -2.490 6.840
Sm 1.241 -0.610 4.720
Sm 7.753 0.651 8.371
Tb -0.774 -0.575 1.578
Ac 3.790 -3.105 5.061

***

# 2
10
Lattice="4.958 0.002 -0.001 -2.476 9.711 2.359 0.000 2.650 8.228" Properties=species:S:1:pos:R:3 comment="AcTb3Sm GGA-PBE relaxed" dos_ef_per_ev_atom=1.445 delta_e_f_mev_per_atom=149.0 de_polymorph_mev_per_atom=62 volume_a3_per_atom=36.518 pbc="T T T"
Ac 2.400 3.329 1.812
Tb -0.081 3.692 4.592
Tb 2.398 6.174 4.407
Tb 2.397 3.944 6.994
Tb -0.080 6.152 1.784
Sm -0.081 6.320 7.026
Ac -0.082 8.997 4.379
Tb 2.399 11.283 9.827
Sm 2.399 8.656 7.393
Tb -0.079 11.031 7.425

***

# 3
18
Lattice="-5.416 -10.162 -0.209 -1.024 -5.804 -8.599 5.191 -2.747 1.263" Properties=species:S:1:pos:R:3 comment="AcTb12Sm5 GGA-PBE relaxed" dos_ef_per_ev_atom=1.683 delta_e_f_mev_per_atom=106.2 volume_a3_per_atom=33.401 pbc="T T T"
Tb 1.819 -3.364 0.647
Tb 4.440 -4.692 -1.684
Tb -2.044 -9.545 0.407
Sm -2.261 -11.776 -2.400
Tb 1.101 -4.749 -2.359
Tb 1.347 -9.401 1.067
Tb -1.572 -3.508 -0.013
Sm 1.012 -6.937 -5.144
Tb -1.052 -10.068 -5.260
Tb -0.196 -8.645 -2.284
Ac 0.000 0.000 0.000
Tb 2.293 -10.014 -4.619
Tb -2.350 -13.964 -5.186
Sm -4.316 -10.634 -5.756
Tb -3.542 -8.699 -2.925
Sm -0.112 -6.455 0.527
Tb -5.688 -14.021 -5.861
Sm -2.124 -5.332 -3.052

***

# 4
10
Lattice="6.061 0.000 0.000 0.000 9.565 1.528 0.000 2.950 9.226" Properties=species:S:1:pos:R:3 comment="Ac7TbSm2 GGA-PBE relaxed" dos_ef_per_ev_atom=1.483 delta_e_f_mev_per_atom=616.0 volume_a3_per_atom=50.753 pbc="T T T"
Ac 3.030 6.806 1.634
Sm 3.030 3.741 3.215
Ac 3.030 6.257 5.377
Tb 0.000 0.000 0.000
Ac 3.030 2.640 6.483
Sm 3.030 8.774 7.540
Ac 3.030 5.708 9.120
Ac 0.000 3.018 2.593
Ac 3.030 9.875 4.271
Ac 0.000 9.497 8.161